Entry one
A geometry-optimized Ac2Br2N structure, computed with PBE-GGA.

Cell and atoms, written as POSCAR:
```
Ac2Br2N
1.0
9.427 0.000 0.000
0.000 7.986 0.000
-0.321 0.000 7.866
Ac Br N
8 8 4
direct
0.086 0.126 0.327 Ac
0.086 0.374 0.827 Ac
0.338 0.550 0.197 Ac
0.338 0.950 0.697 Ac
0.662 0.050 0.303 Ac
0.662 0.450 0.803 Ac
0.914 0.626 0.173 Ac
0.914 0.874 0.673 Ac
0.163 0.640 0.533 Br
0.163 0.860 0.033 Br
0.422 0.213 0.990 Br
0.422 0.287 0.490 Br
0.578 0.713 0.510 Br
0.578 0.787 0.010 Br
0.837 0.140 0.967 Br
0.837 0.360 0.467 Br
0.116 0.076 0.641 N
0.116 0.424 0.141 N
0.884 0.576 0.859 N
0.884 0.924 0.359 N
```

Total magnetic moment (μB/atom): 0.187
Space group: P2_1/c (14)
DOS at the Fermi energy (states/eV/cell): 4.4
Density (g cm⁻³): 7.04


Entry two
A geometry-optimized Ac2Br2N structure, computed with PBE-GGA.

Cell and atoms, written as POSCAR:
```
Ac2Br2N
1.0
2.041 -9.436 0.000
2.041 9.436 0.000
0.000 0.000 8.111
Ac Br N
4 4 2
direct
0.028 0.972 0.500 Ac
0.354 0.646 0.339 Ac
0.646 0.354 0.839 Ac
0.972 0.028 0.000 Ac
0.265 0.735 0.009 Br
0.414 0.586 0.702 Br
0.586 0.414 0.202 Br
0.735 0.265 0.509 Br
0.075 0.925 0.802 N
0.925 0.075 0.302 N
```

Total magnetic moment (μB/atom): 0.046
Space group: Cmc2_1 (36)
DOS at the Fermi energy (states/eV/cell): 2.5
Density (g cm⁻³): 6.68


In order of decreasing stability: entry two, entry one.


Entry one
A geometry-optimized Ac2BrN structure, computed with PBE-GGA.

Cell and atoms, written as POSCAR:
```
Ac2BrN
1.0
3.935 0.000 0.000
-1.967 3.407 0.000
0.000 0.000 23.705
Ac Br N
6 3 3
direct
0.000 0.000 0.228 Ac
0.000 0.000 0.772 Ac
0.333 0.667 0.439 Ac
0.333 0.667 0.894 Ac
0.667 0.333 0.106 Ac
0.667 0.333 0.561 Ac
0.000 0.000 0.000 Br
0.333 0.667 0.667 Br
0.667 0.333 0.333 Br
0.000 0.000 0.500 N
0.333 0.667 0.167 N
0.667 0.333 0.833 N
```

Total magnetic moment (μB/atom): 0.000
Space group: R-3m (166)
DOS at the Fermi energy (states/eV/cell): 5.5
Density (g cm⁻³): 8.59


Entry two
A geometry-optimized Ac2BrN structure, computed with PBE-GGA.

Cell and atoms, written as POSCAR:
```
Ac2BrN
1.0
3.516 0.000 0.000
0.000 3.516 0.000
0.000 0.000 7.661
Ac Br N
2 1 1
direct
0.000 0.000 0.210 Ac
0.000 0.000 0.790 Ac
0.500 0.500 0.500 Br
0.500 0.500 0.000 N
```

Total magnetic moment (μB/atom): 0.000
Space group: P4/mmm (123)
DOS at the Fermi energy (states/eV/cell): 2.9
Density (g cm⁻³): 9.61


Entry three
A geometry-optimized Ac2BrN structure, computed with PBE-GGA.

Cell and atoms, written as POSCAR:
```
Ac2BrN
1.0
3.915 0.000 0.000
-1.957 3.390 0.000
0.000 0.000 24.096
Ac Br N
6 3 3
direct
0.000 0.000 0.000 Ac
0.000 0.000 0.211 Ac
0.333 0.667 0.667 Ac
0.333 0.667 0.878 Ac
0.667 0.333 0.333 Ac
0.667 0.333 0.544 Ac
0.000 0.000 0.773 Br
0.333 0.667 0.440 Br
0.667 0.333 0.106 Br
0.000 0.000 0.606 N
0.333 0.667 0.273 N
0.667 0.333 0.939 N
```

Total magnetic moment (μB/atom): 0.000
Space group: R3m (160)
DOS at the Fermi energy (states/eV/cell): 5.8
Density (g cm⁻³): 8.54


In order of decreasing stability: entry one, entry three, entry two.


Entry one
A geometry-optimized NaAcBr4 structure, computed with PBE-GGA.

Cell and atoms, written as POSCAR:
```
NaAcBr4
1.0
7.545 0.000 0.000
0.000 7.576 0.000
-0.200 0.000 7.471
Na Ac Br
2 2 8
direct
0.000 0.000 0.000 Na
0.000 0.500 0.500 Na
0.500 0.000 0.500 Ac
0.500 0.500 0.000 Ac
0.177 0.171 0.328 Br
0.177 0.329 0.828 Br
0.334 0.660 0.339 Br
0.334 0.840 0.839 Br
0.666 0.160 0.161 Br
0.666 0.340 0.661 Br
0.823 0.671 0.172 Br
0.823 0.829 0.672 Br
```

Total magnetic moment (μB/atom): 0.000
Space group: P2_1/c (14)
DOS at the Fermi energy (states/eV/cell): 0.0
Density (g cm⁻³): 4.43


Entry two
A geometry-optimized NaAcBr4 structure, computed with PBE-GGA.

Cell and atoms, written as POSCAR:
```
NaAcBr4
1.0
7.419 0.000 0.000
0.000 7.405 0.000
-0.722 0.000 7.463
Na Ac Br
2 2 8
direct
0.000 0.000 0.000 Na
0.500 0.500 0.000 Na
0.023 0.500 0.484 Ac
0.523 0.000 0.484 Ac
0.249 0.251 0.238 Br
0.249 0.749 0.238 Br
0.295 0.249 0.726 Br
0.295 0.751 0.726 Br
0.749 0.249 0.238 Br
0.749 0.751 0.238 Br
0.795 0.251 0.726 Br
0.795 0.749 0.726 Br
```

Total magnetic moment (μB/atom): 0.000
Space group: Cm (8)
DOS at the Fermi energy (states/eV/cell): 0.0
Density (g cm⁻³): 4.61


In order of decreasing stability: entry two, entry one.


Entry one
A geometry-optimized AcBrO structure, computed with PBE-GGA.

Cell and atoms, written as POSCAR:
```
AcBrO
1.0
4.153 0.000 0.000
-2.076 3.596 0.000
0.000 0.000 5.053
Ac Br O
1 1 1
direct
0.000 0.000 0.000 Ac
0.667 0.333 0.500 Br
0.333 0.667 0.000 O
```

Total magnetic moment (μB/atom): 0.000
Space group: P-6m2 (187)
DOS at the Fermi energy (states/eV/cell): 0.0
Density (g cm⁻³): 7.11


Entry two
A geometry-optimized AcBrO structure, computed with PBE-GGA.

Cell and atoms, written as POSCAR:
```
AcBrO
1.0
4.310 0.000 0.000
0.000 4.310 0.000
0.000 0.000 7.697
Ac Br O
2 2 2
direct
0.250 0.250 0.163 Ac
0.750 0.750 0.837 Ac
0.250 0.250 0.637 Br
0.750 0.750 0.363 Br
0.250 0.750 0.000 O
0.750 0.250 0.000 O
```

Total magnetic moment (μB/atom): 0.000
Space group: P4/nmm (129)
DOS at the Fermi energy (states/eV/cell): 0.0
Density (g cm⁻³): 7.50


Entry three
A geometry-optimized AcBrO structure, computed with PBE-GGA.

Cell and atoms, written as POSCAR:
```
AcBrO
1.0
6.776 0.000 0.000
0.000 6.776 0.000
0.000 0.000 6.776
Ac Br O
4 4 4
direct
0.000 0.000 0.000 Ac
0.000 0.500 0.500 Ac
0.500 0.000 0.500 Ac
0.500 0.500 0.000 Ac
0.250 0.250 0.750 Br
0.250 0.750 0.250 Br
0.750 0.250 0.250 Br
0.750 0.750 0.750 Br
0.250 0.250 0.250 O
0.250 0.750 0.750 O
0.750 0.250 0.750 O
0.750 0.750 0.250 O
```

Total magnetic moment (μB/atom): 0.020
Space group: F-43m (216)
DOS at the Fermi energy (states/eV/cell): 0.0
Density (g cm⁻³): 6.89


In order of decreasing stability: entry two, entry one, entry three.


Entry one
A geometry-optimized Ac2PBr structure, computed with PBE-GGA.

Cell and atoms, written as POSCAR:
```
Ac2PBr
1.0
4.440 0.000 0.000
-2.220 3.845 0.000
0.000 0.000 22.588
Ac P Br
6 3 3
direct
0.000 0.000 0.236 Ac
0.000 0.000 0.764 Ac
0.333 0.667 0.430 Ac
0.333 0.667 0.903 Ac
0.667 0.333 0.097 Ac
0.667 0.333 0.570 Ac
0.000 0.000 0.500 P
0.333 0.667 0.167 P
0.667 0.333 0.833 P
0.000 0.000 0.000 Br
0.333 0.667 0.667 Br
0.667 0.333 0.333 Br
```

Total magnetic moment (μB/atom): 0.000
Space group: R-3m (166)
DOS at the Fermi energy (states/eV/cell): 4.9
Density (g cm⁻³): 7.30


Entry two
A geometry-optimized Ac2PBr structure, computed with PBE-GGA.

Cell and atoms, written as POSCAR:
```
Ac2PBr
1.0
3.821 0.000 0.000
0.000 3.821 0.000
0.000 0.000 7.765
Ac P Br
2 1 1
direct
0.000 0.000 0.225 Ac
0.000 0.000 0.775 Ac
0.500 0.500 0.000 P
0.500 0.500 0.500 Br
```

Total magnetic moment (μB/atom): 0.000
Space group: P4/mmm (123)
DOS at the Fermi energy (states/eV/cell): 2.8
Density (g cm⁻³): 8.27


Entry three
A geometry-optimized Ac2PBr structure, computed with PBE-GGA.

Cell and atoms, written as POSCAR:
```
Ac2PBr
1.0
4.321 0.000 0.000
-2.160 3.742 0.000
0.000 0.000 24.208
Ac P Br
6 3 3
direct
0.000 0.000 0.000 Ac
0.000 0.000 0.196 Ac
0.333 0.667 0.667 Ac
0.333 0.667 0.862 Ac
0.667 0.333 0.333 Ac
0.667 0.333 0.529 Ac
0.000 0.000 0.599 P
0.333 0.667 0.266 P
0.667 0.333 0.933 P
0.000 0.000 0.430 Br
0.333 0.667 0.097 Br
0.667 0.333 0.764 Br
```

Total magnetic moment (μB/atom): 0.000
Space group: R3m (160)
DOS at the Fermi energy (states/eV/cell): 5.0
Density (g cm⁻³): 7.19


In order of decreasing stability: entry one, entry three, entry two.


Entry one
A geometry-optimized Ac2PbBr structure, computed with PBE-GGA.

Cell and atoms, written as POSCAR:
```
Ac2PbBr
1.0
4.914 0.000 0.000
-2.457 4.255 0.000
0.000 0.000 21.507
Ac Pb Br
6 3 3
direct
0.000 0.000 0.248 Ac
0.000 0.000 0.752 Ac
0.333 0.667 0.418 Ac
0.333 0.667 0.915 Ac
0.667 0.333 0.085 Ac
0.667 0.333 0.582 Ac
0.000 0.000 0.500 Pb
0.333 0.667 0.167 Pb
0.667 0.333 0.833 Pb
0.000 0.000 0.000 Br
0.333 0.667 0.667 Br
0.667 0.333 0.333 Br
```

Total magnetic moment (μB/atom): 0.000
Space group: R-3m (166)
DOS at the Fermi energy (states/eV/cell): 7.4
Density (g cm⁻³): 8.21


Entry two
A geometry-optimized Ac2PbBr structure, computed with PBE-GGA.

Cell and atoms, written as POSCAR:
```
Ac2PbBr
1.0
4.768 0.000 0.000
-2.384 4.129 0.000
0.000 0.000 24.059
Ac Pb Br
6 3 3
direct
0.000 0.000 0.000 Ac
0.000 0.000 0.182 Ac
0.333 0.667 0.667 Ac
0.333 0.667 0.849 Ac
0.667 0.333 0.333 Ac
0.667 0.333 0.516 Ac
0.000 0.000 0.590 Pb
0.333 0.667 0.257 Pb
0.667 0.333 0.923 Pb
0.000 0.000 0.761 Br
0.333 0.667 0.428 Br
0.667 0.333 0.094 Br
```

Total magnetic moment (μB/atom): 0.002
Space group: R3m (160)
DOS at the Fermi energy (states/eV/cell): 10.3
Density (g cm⁻³): 7.79


In order of decreasing stability: entry one, entry two.